Record 1
The following is a GGA-PBE calculation of Pd8AuSe2 after structural relaxation, from the Alexandria database.

Energy relative to the elements, uncorrected in meV per atom: -109.6
Calculated total energy in eV per atom: -4.818
SG: No. 8

Lattice parameters (Å, degrees): 4.877 5.934 7.275 110.44 105.31 100.16
Sites, in units of the cell vectors:
Pd: 0.759 0.262 0.909
Pd: 0.934 0.010 0.559
Pd: 0.284 0.361 0.259
Pd: 0.735 0.987 0.143
Pd: 0.288 0.857 0.304
Pd: 0.893 0.461 0.514
Pd: 0.291 0.489 0.909
Pd: 0.501 0.754 0.675
Au: 0.129 0.918 0.909
Se: 0.752 0.609 0.227
Se: 0.434 0.292 0.591

---

Record 2
The following is a GGA-PBE calculation of CdBN after structural relaxation, from the Alexandria database.

Energy relative to the elements, uncorrected in meV per atom: 250.7
Calculated total energy in eV per atom: -5.055
SG: No. 14

Lattice parameters (Å, degrees): 6.302 7.434 5.065 68.94 90.00 90.00
Sites, in units of the cell vectors:
B: 0.237 0.540 0.349
B: 0.737 0.960 0.651
B: 0.763 0.460 0.651
B: 0.263 0.040 0.349
Cd: 0.294 0.918 0.818
Cd: 0.794 0.582 0.182
Cd: 0.706 0.082 0.182
Cd: 0.206 0.418 0.818
N: 0.213 0.611 0.077
N: 0.713 0.889 0.923
N: 0.787 0.389 0.923
N: 0.287 0.111 0.077

---

Record 3
The following is a GGA-PBE calculation of Dy4SiBiC after structural relaxation, from the Alexandria database.

Energy relative to the elements, uncorrected in meV per atom: -567.0
Calculated total energy in eV per atom: -5.844
SG: No. 63

Lattice parameters (Å, degrees): 6.739 6.757 8.454 90.00 113.49 90.00
Sites, in units of the cell vectors:
Dy: 0.917 0.250 0.835
Dy: 0.404 0.750 0.808
Dy: 0.083 0.750 0.165
Dy: 0.596 0.250 0.192
Dy: 0.500 0.500 0.500
Dy: 0.000 0.000 0.500
Dy: 0.500 0.000 0.500
Dy: 0.000 0.500 0.500
Si: 0.116 0.250 0.231
Si: 0.884 0.750 0.769
Bi: 0.604 0.750 0.208
Bi: 0.396 0.250 0.792
C: 0.245 0.750 0.491
C: 0.755 0.250 0.509

---

Record 4
The following is a GGA-PBE calculation of BPtS3 after structural relaxation, from the Alexandria database.

Energy relative to the elements, uncorrected in meV per atom: 1437.8
Calculated total energy in eV per atom: -3.582
Relative energy among the computed polymorphs in eV per formula unit: 2.67
SG: No. 221

Lattice parameters (Å, degrees): 4.733 4.733 4.733 90.00 90.00 90.00
Site moments in Bohr magnetons follow the coordinates.
Sites, in units of the cell vectors:
S: 0.000 0.500 0.000  0.32
S: 0.000 0.000 0.500  0.19
S: 0.500 0.000 0.000  0.53
B: 0.500 0.500 0.500  -0.02
Pt: 0.000 0.000 0.000  0.27

---

Record 5
The following is a GGA-PBE calculation of Cs2GeTe3O12 after structural relaxation, from the Alexandria database.

Energy relative to the elements, uncorrected in meV per atom: -1267.0
Calculated total energy in eV per atom: -5.447
SG: No. 166

Lattice parameters (Å, degrees): 7.133 7.133 7.133 61.59 61.59 61.59
Sites, in units of the cell vectors:
Cs: 0.371 0.371 0.371
Cs: 0.629 0.629 0.629
Ge: 0.000 0.000 0.000
Te: 0.500 0.000 0.000
Te: 0.000 0.000 0.500
Te: 0.000 0.500 0.000
O: 0.933 0.325 0.325
O: 0.317 0.931 0.931
O: 0.325 0.325 0.933
O: 0.931 0.931 0.317
O: 0.931 0.317 0.931
O: 0.325 0.933 0.325
O: 0.067 0.675 0.675
O: 0.683 0.069 0.069
O: 0.675 0.675 0.067
O: 0.069 0.069 0.683
O: 0.069 0.683 0.069
O: 0.675 0.067 0.675

---

Record 6
The following is a GGA-PBE calculation of CaHg2Se2 after structural relaxation, from the Alexandria database.

Energy relative to the elements, uncorrected in meV per atom: -582.4
Calculated total energy in eV per atom: -2.497
Relative energy among the computed polymorphs in eV per formula unit: 0.43
SG: No. 127

Lattice parameters (Å, degrees): 8.191 8.191 4.414 90.00 90.00 90.00
Sites, in units of the cell vectors:
Ca: 0.000 0.000 0.000
Ca: 0.500 0.500 0.000
Hg: 0.116 0.616 0.500
Hg: 0.616 0.884 0.500
Hg: 0.884 0.384 0.500
Hg: 0.384 0.116 0.500
Se: 0.266 0.766 0.000
Se: 0.766 0.734 0.000
Se: 0.734 0.234 0.000
Se: 0.234 0.266 0.000

---

Record 7
The following is a GGA-PBE calculation of Tb3Ce2ScS6 after structural relaxation, from the Alexandria database.

Energy relative to the elements, uncorrected in meV per atom: -1983.8
Calculated total energy in eV per atom: -6.722
SG: No. 12

Lattice parameters (Å, degrees): 3.915 7.885 8.773 103.07 102.89 90.00
Site moments in Bohr magnetons follow the coordinates.
Sites, in units of the cell vectors:
Tb: 0.500 0.500 0.000  0.02
Tb: 0.832 0.167 0.664  0.01
Tb: 0.168 0.833 0.336  0.01
Ce: 0.834 0.665 0.667  0.60
Ce: 0.166 0.335 0.333  0.60
Sc: 0.500 0.000 0.000  0.07
S: 0.339 0.925 0.677  -0.01
S: 0.664 0.589 0.328  -0.01
S: 0.661 0.075 0.323  -0.01
S: 0.997 0.237 0.995  0.00
S: 0.003 0.763 0.005  0.00
S: 0.336 0.411 0.672  -0.01

---

Record 8
The following is a GGA-PBE calculation of Dy5Ho2Er5 after structural relaxation, from the Alexandria database.

Calculated total energy in eV per atom: -4.562
ΔE_f in kJ/mol of atoms: 1.89
SG: No. 12

Lattice parameters (Å, degrees): 4.972 7.857 11.113 115.08 90.00 108.45
Sites, in units of the cell vectors:
Dy: 0.166 0.332 0.500
Dy: 0.750 0.500 0.751
Dy: 0.250 0.500 0.249
Dy: 0.834 0.668 0.500
Dy: 0.000 0.000 0.000
Ho: 0.083 0.166 0.750
Ho: 0.917 0.834 0.250
Er: 0.500 0.000 0.500
Er: 0.667 0.334 0.000
Er: 0.583 0.166 0.250
Er: 0.417 0.834 0.750
Er: 0.333 0.666 0.000

---

Record 9
The following is a GGA-PBE calculation of NaEu2Ga after structural relaxation, from the Alexandria database.

Calculated total energy in eV per atom: -6.456
Relative energy among the computed polymorphs in eV per formula unit: 0.00
ΔE_f in kJ/mol of atoms: -22.42
SG: No. 123

Lattice parameters (Å, degrees): 3.818 3.818 9.189 90.00 90.00 90.00
Site moments in Bohr magnetons follow the coordinates.
Sites, in units of the cell vectors:
Eu: 0.000 0.000 0.809  6.88
Eu: 0.000 0.000 0.191  6.88
Na: 0.500 0.500 0.500  0.00
Ga: 0.500 0.500 0.000  -0.02

---

Record 10
The following is a GGA-PBE calculation of NbCdFe2S after structural relaxation, from the Alexandria database.

Energy relative to the elements, uncorrected in meV per atom: 755.8
Calculated total energy in eV per atom: -5.652
SG: No. 123

Lattice parameters (Å, degrees): 4.061 4.952 4.061 90.00 90.00 90.00
Sites, in units of the cell vectors:
S: 0.000 0.000 0.000
Nb: 0.500 0.500 0.500
Fe: 0.000 0.000 0.500
Fe: 0.500 0.000 0.000
Cd: 0.000 0.500 0.000

---

Record 11
The following is a GGA-PBE calculation of PaCuAgSn after structural relaxation, from the Alexandria database.

Calculated total energy in eV per atom: -5.130
ΔE_f in kJ/mol of atoms: -1.83
SG: No. 216

Lattice parameters (Å, degrees): 4.880 4.880 4.880 60.00 60.00 60.00
Sites, in units of the cell vectors:
Pa: 0.500 0.500 0.500
Sn: 0.000 0.000 0.000
Ag: 0.750 0.750 0.750
Cu: 0.250 0.250 0.250

---

Record 12
The following is a GGA-PBE calculation of ThPaTcC3 after structural relaxation, from the Alexandria database.

Calculated total energy in eV per atom: -9.229
ΔE_f in kJ/mol of atoms: -6.73
SG: No. 11

Lattice parameters (Å, degrees): 3.672 7.312 8.087 91.49 90.00 90.00
Sites, in units of the cell vectors:
Th: 0.250 0.625 0.176
Th: 0.750 0.375 0.824
Pa: 0.250 0.143 0.150
Pa: 0.750 0.857 0.850
Tc: 0.250 0.076 0.603
Tc: 0.750 0.924 0.397
C: 0.750 0.885 0.139
C: 0.250 0.115 0.861
C: 0.250 0.848 0.448
C: 0.750 0.152 0.552
C: 0.750 0.357 0.127
C: 0.250 0.643 0.873

---

Fermi-level density of states (computed, states/eV/atom): 0.692 0.000 0.500 1.113 0.042 0.022 1.090 1.269 3.650 1.278 1.180 0.279
Volume (computed, Å³ per atom): 16.5 18.5 25.2 21.2 14.8 29.6 21.4 30.7 33.5 16.3 20.5 18.1
Total magnetic moment (computed, μB per atom): 0.00 0.00 0.00 0.36 0.00 0.00 0.13 0.00 3.56 0.00 0.01 0.00